Entry 1:
This record from Alexandria describes a geometry-optimized CuTeOs2 structure. The functional is PBE-GGA.

## Properties
- Formation energy (no corrections): 0.718 eV/atom
- Calculated volume: 16.28 Å³ per atom
- Crystal system: monoclinic

Cell: 8.6711 3.0258 5.0532 Å, 90.00 100.71 90.00°
Last column: nearest neighbours and their distance in Å.
Fractional coordinates of all 8 atoms:
Cu 0.0000 0.0000 0.0000  3 Te 2.61-2.83, 5 Os 2.62-2.68
Cu 0.5000 0.5000 0.0000  3 Te 2.61-2.83, 5 Os 2.62-2.68
Te 0.2371 0.0000 0.7481  3 Cu 2.61-2.83, 4 Os 2.78-2.85
Te 0.7371 0.5000 0.7481  3 Cu 2.61-2.83, 4 Os 2.78-2.85
Os 0.2469 0.5000 0.2127  3 Cu 2.62-2.68, 3 Os 2.64-2.67, 2 Te 2.78
Os 0.4916 0.0000 0.4288  3 Os 2.64-2.67, 2 Cu 2.65, 2 Te 2.85
Os 0.7469 0.0000 0.2127  3 Cu 2.62-2.68, 3 Os 2.64-2.67, 2 Te 2.78
Os 0.9916 0.5000 0.4288  3 Os 2.64-2.67, 2 Cu 2.65, 2 Te 2.85

Entry 2:
This record from Alexandria describes a geometry-optimized Cu2TeOs structure. The functional is PBE-GGA.

## Properties
- Formation energy (no corrections): 0.669 eV/atom
- Calculated volume: 15.92 Å³ per atom
- Crystal system: orthorhombic

Cell: 2.9305 4.2857 5.0700 Å, 90.00 90.00 90.00°
Last column: nearest neighbours and their distance in Å.
Fractional coordinates of all 4 atoms:
Cu 0.0000 0.0000 0.2258  1 Cu 2.29, 2 Te 2.55
Cu 0.0000 0.0000 0.7742  1 Cu 2.29, 2 Te 2.55
Te 0.0000 0.5000 0.5000  4 Cu 2.55
Os 0.5000 0.5000 0.0000  8 Cu 2.84, 4 Te 2.93, 2 Os 2.93

Values for DFT total energy, eV/atom, ordered as above
-6.71; -4.97